1.
Here is crystalline SnPbSe2 at its relaxed geometry from Alexandria via LeMat-Bulk. Energies are from PBE-GGA.

As for the formation energy without anion corrections: -443 meV per atom. For the calculated volume, the calculation gives 32.2 Å³ per atom. The magnetization comes out at 0.00 μB per atom. Its polymorph energy (0 for the lowest one) is 55 meV per atom.

The space group is Pnma (No. 62) and the conventional cell measures 6.180, 4.413 and 18.873 Å, with angles of 90.00, 90.00 and 90.00 degrees. The asymmetric unit holds Sn at (0.229, 0.250, 0.165), Pb at (0.246, 0.750, 0.434), Se at (0.237, 0.750, 0.830) and Se at (0.250, 0.250, 0.567).

2.
Here is crystalline DyLuSc2 at its relaxed geometry from Alexandria via LeMat-Bulk. Energies are from PBE-GGA.

For the calculated volume, the calculation gives 27.4 Å³ per atom. The magnetization comes out at 0.00 μB per atom. Its density of states at the Fermi level is 6.5 states/eV/f.u. Its polymorph energy (0 for the lowest one) is 42 meV per atom. The energy of formation comes out at 0.0961 eV per atom.

The space group is P4/mmm (No. 123) and the conventional cell measures 3.810, 3.810 and 7.563 Å, with angles of 90.00, 90.00 and 90.00 degrees. The asymmetric unit holds Dy at (0.000, 0.000, 0.000), Lu at (0.000, 0.000, 0.500) and Sc at (0.500, 0.500, 0.259).

3.
Here is crystalline TcIrW2 at its relaxed geometry from Alexandria via LeMat-Bulk. Energies are from PBE-GGA.

For the calculated volume, the calculation gives 15.5 Å³ per atom. The magnetization comes out at 0.00 μB per atom. Its density of states at the Fermi level is 3.5 states/eV/f.u. Its polymorph energy (0 for the lowest one) is 200 meV per atom. The energy of formation comes out at 0.1306 eV per atom.

The space group is R3m (No. 160, hexagonal axes) and the conventional cell measures 2.7714, 2.7714 and 27.9281 Å, with angles of 90.00, 90.00 and 120.00 degrees. The asymmetric unit holds Tc at (0.0000, 0.0000, 0.0000), Ir at (0.0000, 0.0000, 0.7472), W at (0.0000, 0.0000, 0.2495) and W at (0.0000, 0.0000, 0.4938).

4.
Here is crystalline Pr7Sn5Au at its relaxed geometry from Alexandria via LeMat-Bulk. Energies are from PBE-GGA.

For the calculated volume, the calculation gives 31.4 Å³ per atom. The magnetization comes out at 0.00 μB per atom. Its density of states at the Fermi level is 11.3 states/eV/f.u. The energy of formation comes out at -0.4906 eV per atom.

The space group is Imm2 (No. 44) and the conventional cell measures 6.480, 11.522 and 10.936 Å, with angles of 90.00, 90.00 and 90.00 degrees. The asymmetric unit holds Pr at (0.000, 0.000, 0.000), Pr at (0.000, 0.000, 0.428), Pr at (0.000, 0.327, 0.658), Pr at (0.000, 0.337, 0.140), Pr at (0.000, 0.500, 0.374), Sn at (0.000, 0.500, 0.893), Sn at (0.247, 0.255, 0.403) and Au at (0.000, 0.000, 0.712).

5.
Here is crystalline ZnHgW2 at its relaxed geometry from Alexandria via LeMat-Bulk. Energies are from PBE-GGA.

For the calculated volume, the calculation gives 16.7 Å³ per atom. The magnetization comes out at 0.00 μB per atom. Its density of states at the Fermi level is 2.2 states/eV/f.u. Its polymorph energy (0 for the lowest one) is 245 meV per atom. The energy of formation comes out at 0.6227 eV per atom.

The space group is I4/mmm (No. 139) and the conventional cell measures 3.865, 3.865 and 8.934 Å, with angles of 90.00, 90.00 and 90.00 degrees. The asymmetric unit holds Zn at (0.000, 0.000, 0.000), Hg at (0.000, 0.000, 0.500) and W at (0.000, 0.500, 0.250).

6.
Here is crystalline Li7Hg2Pt at its relaxed geometry from Alexandria via LeMat-Bulk. Energies are from PBE-GGA.

For the calculated volume, the calculation gives 17.3 Å³ per atom. The magnetization comes out at 0.00 μB per atom. Its density of states at the Fermi level is 3.6 states/eV/f.u. The energy of formation comes out at -0.2779 eV per atom.

The space group is P3m1 (No. 156) and the conventional cell measures 4.4075, 4.4075 and 10.3065 Å, with angles of 90.00, 90.00 and 120.00 degrees. The asymmetric unit holds Li at (0.0000, 0.0000, 0.0000), Li at (0.0000, 0.0000, 0.2241), Li at (0.0000, 0.0000, 0.4805), Li at (0.3333, 0.6667, 0.0529), Li at (0.3333, 0.6667, 0.6313), Li at (0.6667, 0.3333, 0.4084), Li at (0.6667, 0.3333, 0.8721), Hg at (0.0000, 0.0000, 0.7422), Hg at (0.3333, 0.6667, 0.3235) and Pt at (0.6667, 0.3333, 0.1367).

7.
Here is crystalline RbScAs3 at its relaxed geometry from Alexandria via LeMat-Bulk. Energies are from PBE-GGA.

For the calculated volume, the calculation gives 28.7 Å³ per atom. The magnetization comes out at 0.00 μB per atom. Its density of states at the Fermi level is 4.3 states/eV/f.u. Its polymorph energy (0 for the lowest one) is 0 meV per atom. The energy of formation comes out at -0.2375 eV per atom.

The space group is Pm-3m (No. 221) and the conventional cell measures 5.237, 5.237 and 5.237 Å, with angles of 90.00, 90.00 and 90.00 degrees. The asymmetric unit holds Rb at (0.000, 0.000, 0.000), Sc at (0.500, 0.500, 0.500) and As at (0.000, 0.500, 0.500).

8.
Here is crystalline Nd2CuSi3Pt4 at its relaxed geometry from Alexandria via LeMat-Bulk. Energies are from PBE-GGA.

As for the formation energy without anion corrections: -1008 meV per atom. For the calculated volume, the calculation gives 18.1 Å³ per atom. The magnetization comes out at 0.00 μB per atom. Its density of states at the Fermi level is 5.5 states/eV/f.u.

The space group is P-4m2 (No. 115) and the conventional cell measures 4.288, 4.288 and 9.866 Å, with angles of 90.00, 90.00 and 90.00 degrees. The asymmetric unit holds Nd at (0.000, 0.500, 0.240), Cu at (0.500, 0.500, 0.000), Si at (0.000, 0.000, 0.000), Si at (0.000, 0.500, 0.629), Pt at (0.000, 0.000, 0.500), Pt at (0.000, 0.500, 0.869) and Pt at (0.500, 0.500, 0.500).

9.
Here is crystalline Ba2CrHg at its relaxed geometry from Alexandria via LeMat-Bulk. Energies are from PBE-GGA.

For the calculated volume, the calculation gives 36.1 Å³ per atom. The magnetization comes out at 1.15 μB per atom. Its density of states at the Fermi level is 4.2 states/eV/f.u. The energy of formation comes out at 0.1813 eV per atom.

The space group is Cm (No. 8) and the conventional cell measures 13.118, 4.242 and 5.767 Å, with angles of 90.00, 115.96 and 90.00 degrees. The asymmetric unit holds Ba at (0.000, 0.000, 0.000), Ba at (0.201, 0.000, 0.700), Cr at (0.279, 0.500, 0.278) and Hg at (0.438, 0.000, 0.438).

10.
Here is crystalline AlCr2Cl at its relaxed geometry from Alexandria via LeMat-Bulk. Energies are from PBE-GGA.

As for the formation energy without anion corrections: 220 meV per atom. For the calculated volume, the calculation gives 18.2 Å³ per atom. The magnetization comes out at 0.18 μB per atom. Its density of states at the Fermi level is 2.0 states/eV/f.u. Its polymorph energy (0 for the lowest one) is 202 meV per atom.

The space group is Imm2 (No. 44) and the conventional cell measures 3.005, 4.296 and 11.250 Å, with angles of 90.00, 90.00 and 90.00 degrees. The asymmetric unit holds Al at (0.000, 0.000, 0.000), Cr at (0.000, 0.000, 0.473), Cr at (0.000, 0.500, 0.148) and Cl at (0.000, 0.500, 0.773).

11.
Here is crystalline Sr2RuAu at its relaxed geometry from Alexandria via LeMat-Bulk. Energies are from PBE-GGA.

For the calculated volume, the calculation gives 26.7 Å³ per atom. The magnetization comes out at 0.11 μB per atom. Its density of states at the Fermi level is 4.6 states/eV/f.u. The energy of formation comes out at 0.3161 eV per atom.

The space group is I-42d (No. 122) and the conventional cell measures 8.188, 8.188 and 6.365 Å, with angles of 90.00, 90.00 and 90.00 degrees. The asymmetric unit holds Sr at (0.230, 0.750, 0.125), Ru at (0.000, 0.000, 0.000) and Au at (0.000, 0.000, 0.500).

12.
Here is crystalline K2GaHg2 at its relaxed geometry from Alexandria via LeMat-Bulk. Energies are from PBE-GGA.

For the calculated volume, the calculation gives 33.2 Å³ per atom. The magnetization comes out at 0.00 μB per atom. Its density of states at the Fermi level is 5.0 states/eV/f.u. Its polymorph energy (0 for the lowest one) is 0 meV per atom. The energy of formation comes out at -0.1036 eV per atom.

The space group is P4/mbm (No. 127) and the conventional cell measures 7.659, 7.659 and 5.659 Å, with angles of 90.00, 90.00 and 90.00 degrees. The asymmetric unit holds K at (0.174, 0.326, 0.000), Ga at (0.000, 0.000, 0.500) and Hg at (0.146, 0.646, 0.500).

13.
Here is crystalline ZrCo6Mo at its relaxed geometry from Alexandria via LeMat-Bulk. Energies are from PBE-GGA.

For the calculated volume, the calculation gives 12.2 Å³ per atom. The magnetization comes out at 0.00 μB per atom. Its density of states at the Fermi level is 8.5 states/eV/f.u. The energy of formation comes out at -0.0834 eV per atom.

The space group is Cmmm (No. 65) and the conventional cell measures 7.297, 10.327 and 10.367 Å, with angles of 90.00, 90.00 and 90.00 degrees. The asymmetric unit holds Zr at (0.000, 0.000, 0.250), Zr at (0.000, 0.247, 0.000), Co at (0.000, 0.000, 0.000), Co at (0.000, 0.000, 0.500), Co at (0.000, 0.255, 0.259), Co at (0.000, 0.500, 0.000), Co at (0.000, 0.500, 0.500), Co at (0.241, 0.377, 0.131), Co at (0.243, 0.372, 0.380), Mo at (0.000, 0.247, 0.500) and Mo at (0.000, 0.500, 0.249).

14.
Here is crystalline InHRh3 at its relaxed geometry from Alexandria via LeMat-Bulk. Energies are from PBE-GGA.

For the calculated volume, the calculation gives 13.1 Å³ per atom. The magnetization comes out at 0.00 μB per atom. Its density of states at the Fermi level is 3.6 states/eV/f.u. Its polymorph energy (0 for the lowest one) is 71 meV per atom.

The space group is Pm (No. 6) and the conventional cell measures 4.838, 2.918 and 4.844 Å, with angles of 90.00, 106.15 and 90.00 degrees. The asymmetric unit holds In at (0.000, 0.000, 0.000), H at (0.369, 0.500, 0.634), Rh at (0.505, 0.500, 0.014), Rh at (0.512, 0.000, 0.488) and Rh at (0.988, 0.500, 0.495).

15.
Here is crystalline KBSbTe2 at its relaxed geometry from Alexandria via LeMat-Bulk. Energies are from PBE-GGA.

As for the formation energy without anion corrections: 1871 meV per atom. For the calculated volume, the calculation gives 42.9 Å³ per atom. The magnetization comes out at 0.08 μB per atom. Its density of states at the Fermi level is 7.7 states/eV/f.u. Its polymorph energy (0 for the lowest one) is 1534 meV per atom.

The space group is P4/mmm (No. 123) and the conventional cell measures 6.039, 6.039 and 5.876 Å, with angles of 90.00, 90.00 and 90.00 degrees. The asymmetric unit holds K at (0.000, 0.000, 0.000), B at (0.500, 0.500, 0.500), Sb at (0.000, 0.000, 0.500) and Te at (0.000, 0.500, 0.000).

Number 1: final energy -4.1131 eV per atom. Number 2: final energy -5.3505 eV per atom. Number 3: final energy -11.1527 eV per atom. Number 4: final energy -4.8559 eV per atom. Number 5: final energy -6.2479 eV per atom. Number 6: final energy -2.2820 eV per atom. Number 7: final energy -4.4870 eV per atom. Number 8: final energy -6.4148 eV per atom. Number 9: final energy -3.2614 eV per atom. Number 10: final energy -5.9890 eV per atom. Number 11: final energy -3.6631 eV per atom. Number 12: final energy -1.2687 eV per atom. Number 13: final energy -7.8352 eV per atom. Number 14: final energy -5.7618 eV per atom. Number 15: final energy -1.7656 eV per atom.